[1]
Compound: MgCrHg2
Source: the Alexandria database
Functional: GGA-PBE
Structure: optimized geometry

a = 3.7153 Å, b = 3.7153 Å, c = 5.9686 Å
α = 90.00°, β = 90.00°, γ = 90.00°
Atoms (fractional coordinates):
Mg  0.0000  0.0000  0.0000
Cr  0.5000  0.5000  0.2726
Hg  0.0000  0.0000  0.4782
Hg  0.5000  0.5000  0.7785

ΔE_f	0.8	eV per formula unit
energy	-2.76	eV per atom
space-group type	P4mm, No. 99

---

[2]
Compound: KBe2Cr
Source: the Alexandria database
Functional: GGA-PBE
Structure: optimized geometry

a = 5.7304 Å, b = 5.7304 Å, c = 5.7304 Å
α = 153.01°, β = 125.57°, γ = 61.78°
Atoms (fractional coordinates):
K  0.0000  0.0000  0.0000
Be  0.2967  0.7967  0.5000
Be  0.4786  0.4786  0.0000
Cr  0.6844  0.1844  0.5000

energy above the most stable polymorph in this dataset	0.458	eV/atom
ΔE_f	4.2	eV per formula unit
energy	-3.48	eV per atom
space-group type	Imm2, No. 44

---

[3]
Compound: Yb3Mg
Source: the Alexandria database
Functional: GGA-PBE
Structure: optimized geometry

a = 5.0607 Å, b = 5.0607 Å, c = 5.0607 Å
α = 90.00°, β = 90.00°, γ = 90.00°
Atoms (fractional coordinates):
Yb  0.0000  0.0000  0.5000
Yb  0.0000  0.5000  0.0000
Yb  0.5000  0.0000  0.0000
Mg  0.5000  0.5000  0.5000

ΔE_f	-0.4	eV per formula unit
energy	-1.66	eV per atom
space-group type	Pm-3m, No. 221

---

[4]
Compound: Ho3Tm5
Source: the Alexandria database
Functional: GGA-PBE
Structure: optimized geometry

a = 3.5726 Å, b = 5.5323 Å, c = 12.3734 Å
α = 90.00°, β = 90.00°, γ = 90.00°
Atoms (fractional coordinates):
Ho  0.0000  0.0000  0.0000
Ho  0.0000  0.5000  0.1691
Ho  0.5000  0.0000  0.2523
Tm  0.0000  0.0000  0.5025
Tm  0.0000  0.5000  0.6684
Tm  0.5000  0.0000  0.7505
Tm  0.5000  0.5000  0.4200
Tm  0.5000  0.5000  0.9169

ΔE_f	0.0	eV per formula unit
energy	-4.51	eV per atom
space-group type	Pmm2, No. 25